## Pr2Ho5Th4 (GGA-PBE)

Data for a relaxed Pr2Ho5Th4 crystal.

- Theoretical density: 9.36 g/cm³
- Electronic total energy: -5.553 eV/atom
- DFT formation energy: 0.09 eV/atom

extended XYZ file:
```
11
Lattice="3.514 0.284 0.035 0.860 8.947 -0.690 2.428 -0.269 11.637" Properties=species:S:1:pos:R:3 pbc="T T T"
Ho 2.089 4.821 7.298
Ho 3.512 0.899 3.006
Ho 1.757 0.142 0.018
Ho 4.713 4.141 3.684
Ho 3.290 8.064 7.976
Th 2.918 6.560 1.780
Th 3.885 2.403 9.202
Th 3.142 3.364 0.538
Th 3.660 5.599 10.444
Pr 2.036 1.480 6.114
Pr 4.766 7.483 4.868
```